VASP calculation (PBE-GGA) on crystalline Al3AuC at its relaxed geometry.

Values from the calculation:
The distance to the lowest polymorph of the same formula is 0.000 eV per formula unit. Its crystal system is cubic.

Cell lengths 4.0775, 4.0775, 4.0775 Å; angles 90.00, 90.00, 90.00 degrees
With the nearest neighbours (Å) after each atom.
Space group Pm-3m (No. 221)
Unique sites:
Al  0.0000  0.0000  0.5000 x3  2 C 2.04
Au  0.5000  0.5000  0.5000 x1  12 Al 2.88
C  0.0000  0.0000  0.0000 x1  6 Al 2.04

---

VASP calculation (PBE-GGA) on crystalline AlAuC at its relaxed geometry.

Values from the calculation:
Its crystal system is triclinic.

Cell lengths 2.6621, 4.3545, 10.1682 Å; angles 96.08, 94.87, 90.24 degrees
With the nearest neighbours (Å) after each atom.
Space group P1 (No. 1)
Unique sites:
Al  0.0000  0.0000  0.0000 x1  1 C 2.28
Al  0.1047  0.5790  0.3204 x1  6 Au 2.61-2.80, 2 Al 2.66
Au  0.5247  0.5188  0.0759 x1  6 Al 2.66-2.80, 2 Au 2.66
Au  0.6224  0.0926  0.3750 x1  4 Al 2.61-2.62, 2 Au 2.66
C  0.4229  0.9414  0.7617 x1  2 C 1.34
C  0.9266  0.9442  0.7732 x1  2 C 1.34

---

VASP calculation (PBE-GGA) on crystalline AlAuC at its relaxed geometry.

Values from the calculation:
Its crystal system is orthorhombic.

Cell lengths 4.2247, 7.0838, 6.5927 Å; angles 90.00, 90.00, 90.00 degrees
With the nearest neighbours (Å) after each atom.
Space group Cmcm (No. 63)
Unique sites:
Al  0.0000  0.0000  0.0000 x4  2 C 1.93
Au  0.0000  0.4413  0.2500 x4  1 C 2.12
C  0.0000  0.1427  0.2500 x4  2 Al 1.93, 1 Au 2.12

---

VASP calculation (PBE-GGA) on crystalline Ca2AlAuC at its relaxed geometry.

Values from the calculation:
Its crystal system is tetragonal.

Cell lengths 5.1486, 5.1486, 3.8788 Å; angles 90.00, 90.00, 90.00 degrees
With the nearest neighbours (Å) after each atom.
Space group P4/mmm (No. 123)
Unique sites:
Ca  0.0000  0.5000  0.0000 x2  2 C 2.57
Al  0.0000  0.0000  0.5000 x1  2 C 1.94
Au  0.5000  0.5000  0.5000 x1  8 Ca 3.22
C  0.0000  0.0000  0.0000 x1  2 Al 1.94

---

Number 1: M_tot 0.0 μB per formula unit, ΔH_f (0 K) 0.104 eV/atom. Number 2: M_tot 0.0 μB per formula unit, ΔH_f (0 K) 0.235 eV/atom. Number 3: M_tot 0.0 μB per formula unit, ΔH_f (0 K) 0.740 eV/atom. Number 4: M_tot 0.0 μB per formula unit, ΔH_f (0 K) -0.253 eV/atom.